Record 1
This record from the Alexandria database describes an optimized crystal structure of TmBeSi2Tc. The functional is GGA-PBE.

Computed properties:
**SG**: I-4m2, No. 119
**E_form (uncorrected)**: -0.494 eV/atom
**Magnetic moment**: 0.00 μB/atom

Cell: 3.8591 3.8591 5.9037 Å, 109.08 109.08 90.00°
With the nearest neighbours (Å) after each atom.
Fractional positions:
Si1 0.3847 0.3847 0.7694  2 Tc 2.39, 2 Be 2.39, 1 Si 2.41
Tc1 0.7500 0.2500 0.5000  4 Si 2.39
Tm1 0.0000 0.0000 0.0000  8 Si 2.98, 4 Be 3.25, 4 Tc 3.25
Si2 0.6153 0.6153 0.2306  2 Tc 2.39, 2 Be 2.39, 1 Si 2.41
Be1 0.2500 0.7500 0.5000  4 Si 2.39

---

Record 2
This record from the Alexandria database describes an optimized crystal structure of UBeSi2Tc. The functional is GGA-PBE.

Computed properties:
**SG**: I-4m2, No. 119
**E_form (uncorrected)**: -0.295 eV/atom
**Magnetic moment**: 0.34 μB/atom

Cell: 3.8506 3.8506 5.9047 Å, 109.03 109.03 90.00°
With the nearest neighbours (Å) after each atom.
Fractional positions:
Tc1 0.7500 0.2500 0.5000  4 Si 2.40
Si1 0.6133 0.6133 0.2265  1 Si 2.37, 2 Tc 2.40, 2 Be 2.40
Be1 0.2500 0.7500 0.5000  4 Si 2.40
U1 0.0000 0.0000 0.0000  8 Si 2.97, 4 Tc 3.25, 4 Be 3.25
Si2 0.3867 0.3867 0.7735  1 Si 2.37, 2 Tc 2.40, 2 Be 2.40

---

Record 3
This record from the Alexandria database describes an optimized crystal structure of U2Be3Si4Tc. The functional is GGA-PBE.

Computed properties:
**SG**: P-4m2, No. 115
**E_form (uncorrected)**: -0.240 eV/atom
**Magnetic moment**: 0.40 μB/atom

Cell: 3.9047 3.9047 9.6536 Å, 90.00 90.00 90.00°
With the nearest neighbours (Å) after each atom.
Fractional positions:
U1 0.5000 0.0000 0.2414  8 Si 2.97-3.04, 6 Be 2.98-3.17, 2 Tc 3.17
Be1 0.5000 0.0000 0.8746  5 Si 2.22-2.30
Si1 0.0000 0.5000 0.3550  3 Be 2.22-2.40, 2 Tc 2.40
Tc1 0.5000 0.5000 0.5000  4 Si 2.40
Be2 0.0000 0.5000 0.1254  5 Si 2.22-2.30
Si2 0.5000 0.5000 0.0000  4 Be 2.30
Si3 0.5000 0.0000 0.6450  3 Be 2.22-2.40, 2 Tc 2.40
Si4 0.0000 0.0000 0.0000  4 Be 2.30
Be3 0.0000 0.0000 0.5000  4 Si 2.40
U2 0.0000 0.5000 0.7586  8 Si 2.97-3.04, 6 Be 2.98-3.17, 2 Tc 3.17

---

Record 4
This record from the Alexandria database describes an optimized crystal structure of U2Be4Si3Tc. The functional is GGA-PBE.

Computed properties:
**SG**: P-4m2, No. 115
**E_form (uncorrected)**: -0.197 eV/atom
**Magnetic moment**: 0.42 μB/atom

Cell: 3.8520 3.8520 9.5454 Å, 90.00 90.00 90.00°
With the nearest neighbours (Å) after each atom.
Fractional positions:
Be1 0.0000 0.5000 0.3640  3 Si 2.22-2.32, 2 Tc 2.32
Si1 0.0000 0.5000 0.1312  5 Be 2.22-2.30
Be2 0.5000 0.0000 0.6360  3 Si 2.22-2.32, 2 Tc 2.32
Si2 0.0000 0.0000 0.5000  4 Be 2.32
Tc1 0.5000 0.5000 0.5000  4 Be 2.32
U1 0.5000 0.0000 0.2517  8 Be 2.93-3.08, 6 Si 2.96-3.05, 2 Tc 3.05
Be3 0.0000 0.0000 0.0000  4 Si 2.30
Be4 0.5000 0.5000 0.0000  4 Si 2.30
Si3 0.5000 0.0000 0.8688  5 Be 2.22-2.30
U2 0.0000 0.5000 0.7483  8 Be 2.93-3.08, 6 Si 2.96-3.05, 2 Tc 3.05

---

Record 5
This record from the Alexandria database describes an optimized crystal structure of BeVSiTc. The functional is GGA-PBE.

Computed properties:
**SG**: F-43m, No. 216
**E_form (uncorrected)**: -0.289 eV/atom
**Magnetic moment**: 0.00 μB/atom

Cell: 4.0992 4.0992 4.0992 Å, 60.00 60.00 60.00°
With the nearest neighbours (Å) after each atom.
Fractional positions:
Tc1 0.2500 0.2500 0.2500  4 Si 2.51, 4 V 2.51
Be1 0.7500 0.7500 0.7500  4 Si 2.51, 4 V 2.51
V1 0.0000 0.0000 0.0000  4 Tc 2.51, 4 Be 2.51
Si1 0.5000 0.5000 0.5000  4 Tc 2.51, 4 Be 2.51

---

Record 6
This record from the Alexandria database describes an optimized crystal structure of YBe2Si2Tc. The functional is GGA-PBE.

Computed properties:
**SG**: P-3m1, No. 164
**E_form (uncorrected)**: -0.415 eV/atom
**Magnetic moment**: 0.00 μB/atom

Cell: 3.8874 3.8874 6.5772 Å, 90.00 90.00 120.00°
With the nearest neighbours (Å) after each atom.
Fractional positions:
Tc1 0.0000 0.0000 0.5000  6 Be 2.51, 6 Si 2.64
Si1 0.6667 0.3333 0.2887  4 Be 2.26-2.51
Be1 0.6667 0.3333 0.6701  4 Si 2.26-2.51, 3 Tc 2.51
Si2 0.3333 0.6667 0.7113  4 Be 2.26-2.51
Y1 0.0000 0.0000 0.0000  6 Si 2.94, 6 Be 3.12, 2 Tc 3.29
Be2 0.3333 0.6667 0.3299  4 Si 2.26-2.51, 3 Tc 2.51

---

Record 7
This record from the Alexandria database describes an optimized crystal structure of Zr2BeSiTc. The functional is GGA-PBE.

Computed properties:
**SG**: P4/mmm, No. 123
**E_form (uncorrected)**: 0.588 eV/atom
**Magnetic moment**: 0.00 μB/atom

Cell: 4.9231 4.3441 4.9231 Å, 90.00 90.00 90.00°
With the nearest neighbours (Å) after each atom.
Fractional positions:
Tc1 0.0000 0.5000 0.0000  2 Si 2.17
Zr1 0.5000 0.0000 0.0000  2 Si 2.46
Be1 0.5000 0.5000 0.5000  8 Zr 3.28, 4 Tc 3.48
Si1 0.0000 0.0000 0.0000  2 Tc 2.17
Zr2 0.0000 0.0000 0.5000  2 Si 2.46

---

Record 8
This record from the Alexandria database describes an optimized crystal structure of BeSi2Te. The functional is GGA-PBE.

Computed properties:
**Relative energy among the computed polymorphs**: 219.8 meV per atom
**SG**: C2/m, No. 12
**E_form (uncorrected)**: 0.367 eV/atom
**Magnetic moment**: 0.00 μB/atom

Cell: 5.9305 5.9305 3.6499 Å, 109.90 109.90 35.76°
With the nearest neighbours (Å) after each atom.
Fractional positions:
Si1 0.4748 0.4748 0.4784  1 Be 2.37, 2 Si 2.60
Te1 0.7500 0.7500 0.7500  4 Be 2.58
Si2 0.0252 0.0252 0.0216  1 Be 2.37, 2 Si 2.60
Be1 0.2500 0.2500 0.2500  2 Si 2.37, 4 Te 2.58

---

Record 9
This record from the Alexandria database describes an optimized crystal structure of BeSiTe2. The functional is GGA-PBE.

Computed properties:
**Relative energy among the computed polymorphs**: 0.0 meV per atom
**SG**: R3m, No. 160
**E_form (uncorrected)**: 0.094 eV/atom
**Magnetic moment**: 0.00 μB/atom

Cell: 9.8238 9.8238 9.8238 Å, 23.30 23.30 23.30°
With the nearest neighbours (Å) after each atom.
Fractional positions:
Be1 0.5297 0.5297 0.5297  3 Te 2.31
Te1 0.2053 0.2053 0.2053  3 Be 2.31
Te2 0.0232 0.0232 0.0232  3 Si 2.73
Si1 0.7417 0.7417 0.7417  3 Te 2.73

---

Record 10
This record from the Alexandria database describes an optimized crystal structure of BeSiTe2. The functional is GGA-PBE.

Computed properties:
**Relative energy among the computed polymorphs**: 92.0 meV per atom
**SG**: P4mm, No. 99
**E_form (uncorrected)**: 0.186 eV/atom
**Magnetic moment**: 0.00 μB/atom

Cell: 3.9394 3.9369 5.8279 Å, 90.00 90.00 90.00°
With the nearest neighbours (Å) after each atom.
Fractional positions:
Be1 0.0000 0.0000 0.4166  1 Te 2.48
Te1 0.0000 0.0000 0.8418  1 Be 2.48
Te2 0.5000 0.5000 0.3493  1 Si 2.66, 4 Be 2.81
Si1 0.5000 0.5000 0.8923  5 Te 2.66-2.80

---

Record 11
This record from the Alexandria database describes an optimized crystal structure of BeSiTe2. The functional is GGA-PBE.

Computed properties:
**Relative energy among the computed polymorphs**: 371.9 meV per atom
**SG**: Immm, No. 71
**E_form (uncorrected)**: 0.466 eV/atom
**Magnetic moment**: 0.00 μB/atom

Cell: 5.7651 5.7651 5.7651 Å, 142.22 92.83 99.22°
With the nearest neighbours (Å) after each atom.
Fractional positions:
Te1 0.9784 0.9784 0.0000  2 Be 2.53, 2 Si 2.76
Te2 0.5216 0.5216 0.0000  2 Be 2.53, 2 Si 2.76
Si1 0.2500 0.7500 0.5000  4 Te 2.76
Be1 0.7500 0.2500 0.5000  4 Te 2.53

---

Record 12
This record from the Alexandria database describes an optimized crystal structure of BeSiTe2. The functional is GGA-PBE.

Computed properties:
**Relative energy among the computed polymorphs**: 787.0 meV per atom
**SG**: F-43m, No. 216
**E_form (uncorrected)**: 0.881 eV/atom
**Magnetic moment**: 0.00 μB/atom

Cell: 4.9478 4.9478 4.9478 Å, 60.00 60.00 60.00°
With the nearest neighbours (Å) after each atom.
Fractional positions:
Te1 0.2500 0.2500 0.2500  4 Te 3.03, 4 Be 3.03
Si1 0.7500 0.7500 0.7500  4 Be 3.03, 4 Te 3.03
Te2 0.0000 0.0000 0.0000  4 Te 3.03, 4 Si 3.03
Be1 0.5000 0.5000 0.5000  4 Si 3.03, 4 Te 3.03

---

Record 13
This record from the Alexandria database describes an optimized crystal structure of BeSi3Te. The functional is GGA-PBE.

Computed properties:
**Relative energy among the computed polymorphs**: 1203.6 meV per atom
**SG**: Pm-3m, No. 221
**E_form (uncorrected)**: 1.846 eV/atom
**Magnetic moment**: 0.00 μB/atom

Cell: 5.1555 5.1555 5.1555 Å, 90.00 90.00 90.00°
With the nearest neighbours (Å) after each atom.
Fractional positions:
Te1 0.0000 0.0000 0.0000  6 Si 2.58
Si1 0.0000 0.0000 0.5000  2 Te 2.58
Be1 0.5000 0.5000 0.5000  12 Si 3.65
Si2 0.0000 0.5000 0.0000  2 Te 2.58
Si3 0.5000 0.0000 0.0000  2 Te 2.58

---

Record 14
This record from the Alexandria database describes an optimized crystal structure of BeSi2Te. The functional is GGA-PBE.

Computed properties:
**Relative energy among the computed polymorphs**: 718.7 meV per atom
**SG**: P4/mmm, No. 123
**E_form (uncorrected)**: 0.866 eV/atom
**Magnetic moment**: 0.00 μB/atom

Cell: 4.5670 4.5670 3.4546 Å, 90.00 90.00 90.00°
With the nearest neighbours (Å) after each atom.
Fractional positions:
Be1 0.0000 0.5000 0.5000  8 Si 2.86
Te1 0.5000 0.0000 0.5000  8 Si 2.86
Si1 0.0000 0.0000 0.0000  4 Be 2.86, 4 Te 2.86
Si2 0.5000 0.5000 0.0000  4 Be 2.86, 4 Te 2.86

---

Record 15
This record from the Alexandria database describes an optimized crystal structure of BeSiTe2. The functional is GGA-PBE.

Computed properties:
**Relative energy among the computed polymorphs**: 472.8 meV per atom
**SG**: Cm, No. 8
**E_form (uncorrected)**: 0.566 eV/atom
**Magnetic moment**: 0.00 μB/atom

Cell: 8.6794 8.6792 8.6792 Å, 155.08 155.08 35.54°
With the nearest neighbours (Å) after each atom.
Fractional positions:
Te1 0.0018 0.0000 0.0018  4 Be 2.64-2.66
Te2 0.2494 0.7500 0.4994  4 Si 2.65
Be1 0.4992 0.5000 0.9991  4 Te 2.64-2.66
Si1 0.7496 0.2500 0.4997  4 Te 2.65